(1)
A plane-wave DFT calculation with PBE was carried out for a relaxed structure of NdErIr2.

Unit cell a=6.9504 b=6.9504 c=6.9504 alpha=90.00 beta=90.00 gamma=90.00
With the nearest neighbours (Å) after each atom.
Space group Fm-3m (No. 225)
One atom of each set of equivalent atoms:
1 Nd 0.0000 0.0000 0.0000 (multiplicity 4)  8 Ir 3.01
2 Er 0.0000 0.0000 0.5000 (multiplicity 4)  8 Ir 3.01
3 Ir 0.2500 0.2500 0.2500 (multiplicity 8)  4 Er 3.01, 4 Nd 3.01

Total moment   0.0 μB/cell
Relative energy among the computed polymorphs   8.3 meV/atom
Raw total energy   -0.27364 Ha/atom
Calculated formation energy   -0.68 eV per atom

***

(2)
A plane-wave DFT calculation with PBE was carried out for a relaxed structure of MgSeI.

Unit cell a=4.2100 b=7.2929 c=7.5723 alpha=77.20 beta=89.80 gamma=73.75
With the nearest neighbours (Å) after each atom.
Space group P-1 (No. 2)
One atom of each set of equivalent atoms:
1 Mg 0.0332 0.4215 0.2878 (multiplicity 2)  2 Se 2.63, 2 I 2.78
2 Se 0.4265 0.6577 0.8906 (multiplicity 2)  1 Se 2.44, 2 Mg 2.63
3 I 0.1462 0.2045 0.6452 (multiplicity 2)  2 Mg 2.78

Total moment   0.0 μB/cell
Relative energy among the computed polymorphs   4.5 meV/atom
Raw total energy   -0.11254 Ha/atom
Formation energy without anion corrections   -246.8 kJ/mol of formula units

***

(3)
A plane-wave DFT calculation with PBE was carried out for a relaxed structure of KBe2Re.

Unit cell a=6.6861 b=6.6849 c=2.6177 alpha=90.00 beta=90.14 gamma=90.00
With the nearest neighbours (Å) after each atom.
Space group C2/m (No. 12)
One atom of each set of equivalent atoms:
1 K 0.0000 0.0000 0.0000 (multiplicity 2)  2 K 2.62, 8 Be 2.70
2 Be 0.2500 0.2500 0.5000 (multiplicity 4)  2 Be 2.62, 4 K 2.70, 4 Re 2.70
3 Re 0.0000 0.5000 0.0000 (multiplicity 2)  2 Re 2.62, 8 Be 2.70

Total moment   0.3 μB/cell
Relative energy among the computed polymorphs   499.9 meV/atom
Raw total energy   -0.15757 Ha/atom
Calculated formation energy   0.96 eV per atom

***

(4)
A plane-wave DFT calculation with PBE was carried out for a relaxed structure of ThH2Br8.

Unit cell a=14.4114 b=9.5468 c=6.1371 alpha=90.00 beta=91.21 gamma=90.00
With the nearest neighbours (Å) after each atom.
Space group C2/m (No. 12)
One atom of each set of equivalent atoms:
1 Th 0.0000 0.0000 0.0000 (multiplicity 2)  6 Br 2.85-2.87
2 H 0.2224 0.5000 0.7905 (multiplicity 4)  1 Br 1.44
3 Br 0.1101 0.2089 0.2124 (multiplicity 8)  1 Th 2.85, 1 H 3.13
4 Br 0.1224 0.5000 0.7880 (multiplicity 4)  1 H 1.44
5 Br 0.1363 0.0000 0.6665 (multiplicity 4)  1 Th 2.87

Total moment   4.2 μB/cell
Raw total energy   -0.11738 Ha/atom

***

(5)
A plane-wave DFT calculation with PBE was carried out for a relaxed structure of NaRuRh.

Unit cell a=4.4865 b=4.4865 c=5.7752 alpha=90.00 beta=90.00 gamma=120.00
With the nearest neighbours (Å) after each atom.
Space group P-6m2 (No. 187)
One atom of each set of equivalent atoms:
1 Na 0.0000 0.0000 0.0000 (multiplicity 1)  6 Ru 2.83, 2 Na 2.89, 6 Rh 2.92
2 Na 0.0000 0.0000 0.5000 (multiplicity 1)  2 Na 2.89, 6 Rh 3.02, 6 Ru 3.13
3 Ru 0.6667 0.3333 0.1955 (multiplicity 2)  1 Ru 2.26
4 Rh 0.3333 0.6667 0.2323 (multiplicity 2)  3 Ru 2.60, 1 Rh 2.68

Total moment   0.0 μB/cell
Relative energy among the computed polymorphs   244.7 meV/atom
Raw total energy   -0.20009 Ha/atom
Calculated formation energy   0.54 eV per atom

***

(6)
A plane-wave DFT calculation with PBE was carried out for a relaxed structure of Nb5AlMo4.

Unit cell a=3.2783 b=3.2783 c=15.7623 alpha=90.00 beta=90.00 gamma=90.00
With the nearest neighbours (Å) after each atom.
Space group P4/mmm (No. 123)
One atom of each set of equivalent atoms:
1 Nb 0.0000 0.0000 0.0000 (multiplicity 1)  8 Mo 2.82
2 Nb 0.0000 0.0000 0.2020 (multiplicity 2)  8 Mo 2.80-2.85, 1 Nb 3.13
3 Nb 0.0000 0.0000 0.4005 (multiplicity 2)  4 Mo 2.75, 4 Al 2.80
4 Al 0.5000 0.5000 0.5000 (multiplicity 1)  8 Nb 2.80, 2 Mo 3.05
5 Mo 0.5000 0.5000 0.1020 (multiplicity 2)  8 Nb 2.80-2.82
6 Mo 0.5000 0.5000 0.3067 (multiplicity 2)  8 Nb 2.75-2.85, 1 Al 3.05

Total moment   0.0 μB/cell
Raw total energy   -0.36378 Ha/atom
Calculated formation energy   -0.16 eV per atom

***

(7)
A plane-wave DFT calculation with PBE was carried out for a relaxed structure of ReBPC.

Unit cell a=4.9345 b=2.8078 c=8.2028 alpha=90.00 beta=100.66 gamma=90.00
With the nearest neighbours (Å) after each atom.
Space group Cm (No. 8)
One atom of each set of equivalent atoms:
1 Re 0.0000 0.0000 0.0000 (multiplicity 2)  3 P 2.38-2.40, 3 C 2.50-2.62, 3 B 2.51-2.59
2 B 0.2390 0.0000 0.7548 (multiplicity 2)  3 C 1.63-1.64
3 P 0.2390 0.5000 0.2164 (multiplicity 2)  3 Re 2.38-2.40
4 C 0.0706 0.5000 0.7589 (multiplicity 2)  3 B 1.63-1.64

Total moment   0.0 μB/cell
Relative energy among the computed polymorphs   126.8 meV/atom
Raw total energy   -0.30141 Ha/atom
Calculated formation energy   0.24 eV per atom

***

(8)
A plane-wave DFT calculation with PBE was carried out for a relaxed structure of KTa3Cd.

Unit cell a=4.6903 b=4.6903 c=4.6903 alpha=90.00 beta=90.00 gamma=90.00
With the nearest neighbours (Å) after each atom.
Space group Pm-3m (No. 221)
One atom of each set of equivalent atoms:
1 K 0.0000 0.0000 0.0000 (multiplicity 1)  6 Ta 2.35
2 Ta 0.0000 0.0000 0.5000 (multiplicity 3)  2 K 2.35
3 Cd 0.5000 0.5000 0.5000 (multiplicity 1)  12 Ta 3.32

Total moment   0.0 μB/cell
Relative energy among the computed polymorphs   464.6 meV/atom
Raw total energy   -0.17084 Ha/atom
Calculated formation energy   2.87 eV per atom

***

(9)
A plane-wave DFT calculation with PBE was carried out for a relaxed structure of YMg3Ag2.

Unit cell a=4.8056 b=4.8056 c=13.1329 alpha=90.00 beta=90.00 gamma=120.00
With the nearest neighbours (Å) after each atom.
Space group P6_3/mmc (No. 194)
One atom of each set of equivalent atoms:
1 Y 0.0000 0.0000 0.2500 (multiplicity 2)  6 Ag 3.19, 8 Mg 3.28-3.43
2 Mg 0.0000 0.0000 0.0000 (multiplicity 2)  6 Mg 3.05, 6 Ag 3.25, 2 Y 3.28
3 Mg 0.3333 0.6667 0.0968 (multiplicity 4)  4 Ag 2.81-2.97, 3 Mg 3.05
4 Ag 0.3333 0.6667 0.6296 (multiplicity 4)  4 Mg 2.81-2.97

Total moment   0.0 μB/cell
Raw total energy   -0.11175 Ha/atom
Calculated formation energy   -0.22 eV per atom

***

(10)
A plane-wave DFT calculation with PBE was carried out for a relaxed structure of La3ErMg4.

Unit cell a=3.9049 b=3.9049 c=15.7302 alpha=90.00 beta=90.00 gamma=90.00
With the nearest neighbours (Å) after each atom.
Space group P4/mmm (No. 123)
One atom of each set of equivalent atoms:
1 La 0.0000 0.0000 0.0000 (multiplicity 1)  8 Mg 3.42
2 La 0.0000 0.0000 0.2581 (multiplicity 2)  8 Mg 3.43, 1 Er 3.80
3 Er 0.0000 0.0000 0.5000 (multiplicity 1)  8 Mg 3.28
4 Mg 0.5000 0.5000 0.1284 (multiplicity 2)  8 La 3.42-3.43
5 Mg 0.5000 0.5000 0.3878 (multiplicity 2)  4 Er 3.28, 4 La 3.43, 1 Mg 3.53

Total moment   0.0 μB/cell
Raw total energy   -0.12176 Ha/atom
Calculated formation energy   -0.10 eV per atom

***

(11)
A plane-wave DFT calculation with PBE was carried out for a relaxed structure of Ti6CoNi.

Unit cell a=5.4900 b=9.8953 c=5.4719 alpha=90.00 beta=119.98 gamma=90.00
With the nearest neighbours (Å) after each atom.
Space group C2/m (No. 12)
One atom of each set of equivalent atoms:
1 Ti 0.0001 0.2082 0.2488 (multiplicity 8)  1 Co 2.47, 1 Ni 2.48, 2 Ti 2.72-2.75
2 Ti 0.0064 0.5000 0.7528 (multiplicity 4)  1 Co 2.35, 1 Ni 2.41
3 Co 0.0000 0.0000 0.0000 (multiplicity 2)  6 Ti 2.35-2.47
4 Ni 0.0000 0.0000 0.5000 (multiplicity 2)  6 Ti 2.41-2.48

Total moment   0.0 μB/cell
Relative energy among the computed polymorphs   331.9 meV/atom
Raw total energy   -0.27193 Ha/atom
Calculated formation energy   0.13 eV per atom

***

(12)
A plane-wave DFT calculation with PBE was carried out for a relaxed structure of Y3RuN.

Unit cell a=4.7101 b=4.7101 c=4.7101 alpha=90.00 beta=90.00 gamma=90.00
With the nearest neighbours (Å) after each atom.
Space group Pm-3m (No. 221)
One atom of each set of equivalent atoms:
1 Y 0.0000 0.0000 0.5000 (multiplicity 3)  2 N 2.36
2 Ru 0.5000 0.5000 0.5000 (multiplicity 1)  12 Y 3.33
3 N 0.0000 0.0000 0.0000 (multiplicity 1)  6 Y 2.36

Total moment   0.0 μB/cell
Raw total energy   -0.29540 Ha/atom
Formation energy without anion corrections   -308.6 kJ/mol of formula units

***

(13)
A plane-wave DFT calculation with PBE was carried out for a relaxed structure of NaHgIO2.

Unit cell a=4.4702 b=4.4702 c=6.4539 alpha=90.00 beta=90.00 gamma=90.00
With the nearest neighbours (Å) after each atom.
Space group P4/mmm (No. 123)
One atom of each set of equivalent atoms:
1 Na 0.0000 0.0000 0.0000 (multiplicity 1)  4 O 2.24
2 Hg 0.5000 0.5000 0.5000 (multiplicity 1)  4 I 3.16
3 I 0.0000 0.0000 0.5000 (multiplicity 1)  4 Hg 3.16, 2 Na 3.23
4 O 0.0000 0.5000 0.0000 (multiplicity 2)  2 Na 2.24

Total moment   2.8 μB/cell
Relative energy among the computed polymorphs   345.6 meV/atom
Raw total energy   -0.08589 Ha/atom
Formation energy without anion corrections   135.2 kJ/mol of formula units